1.
Below is an optimized crystal structure of BiPdNF2, with properties calculated at the PBE level.

As for the raw formation energy: -0.125 eV per atom. The calculation puts the size of the total moment at 1.0 μB/f.u. As for the energy above the most stable polymorph in this dataset: 0.075 eV/atom. The uncorrected energy is -4.354 eV per atom.

The space group is P4/mmm (No. 123) and the conventional cell measures 4.491, 4.491 and 4.337 Å, with angles of 90.00, 90.00 and 90.00 degrees. The asymmetric unit holds Bi at (0.000, 0.000, 0.000), Pd at (0.500, 0.500, 0.500), N at (0.000, 0.000, 0.500) and F at (0.000, 0.500, 0.000).

2.
Below is an optimized crystal structure of TlPd12Au6, with properties calculated at the PBE level.

The calculation puts the size of the total moment at 0.0 μB/f.u. For the formation enthalpy at 0 K, the calculation gives -97 meV per atom. As for the energy above the most stable polymorph in this dataset: 0.000 eV/atom. The uncorrected energy is -4.536 eV per atom.

The space group is R-3 (No. 148, hexagonal axes) and the conventional cell measures 12.4498, 12.4498 and 7.0135 Å, with angles of 90.00, 90.00 and 120.00 degrees. The asymmetric unit holds Tl at (0.0000, 0.0000, 0.0000), Pd at (0.0174, 0.1400, 0.6652), Pd at (0.0696, 0.5611, 0.6660) and Au at (0.0341, 0.2790, 0.3324).